Record 1
VASP calculation (GGA-PBE) on a relaxed TaRhO4 crystal.

Structure (extended XYZ):
```
12
Lattice="6.597 0.000 0.000 0.000 6.680 0.000 0.000 0.000 3.140" Properties=species:S:1:pos:R:3 pbc="T T T"
Ta 0.000 0.000 0.000
Ta 3.298 3.340 0.000
Rh 0.000 3.340 1.570
Rh 3.298 0.000 1.570
O 0.000 1.276 1.570
O 0.000 5.404 1.570
O 1.311 3.340 0.000
O 1.987 0.000 0.000
O 3.298 2.064 1.570
O 3.298 4.616 1.570
O 4.610 0.000 0.000
O 5.286 3.340 0.000
```

Values from the calculation:
Magnetization: 0.00 μB per formula unit
N(E_F): 2.84 states/eV/cell
Formation energy (no corrections): -11.26 eV/f.u.
Calculated density: 8.35 g cm⁻³

---

Record 2
VASP calculation (GGA-PBE) on a relaxed KTlInBi crystal.

Structure (extended XYZ):
```
16
Lattice="8.107 0.000 0.000 0.000 8.107 0.000 0.000 0.000 8.107" Properties=species:S:1:pos:R:3 pbc="T T T"
K 0.000 0.000 0.000
K 0.000 4.054 4.054
K 4.054 0.000 4.054
K 4.054 4.054 0.000
Tl 2.027 2.027 6.080
Tl 2.027 6.080 2.027
Tl 6.080 2.027 2.027
Tl 6.080 6.080 6.080
In 2.027 2.027 2.027
In 2.027 6.080 6.080
In 6.080 2.027 6.080
In 6.080 6.080 2.027
Bi 0.000 0.000 4.054
Bi 0.000 4.054 0.000
Bi 4.054 0.000 0.000
Bi 4.054 4.054 4.054
```

Values from the calculation:
Energy above the most stable polymorph in this dataset: 0.000 eV/atom
Magnetization: 0.00 μB per formula unit
N(E_F): 3.91 states/eV/cell
Energy of formation: -59 kJ/mol of formula units
Calculated density: 7.07 g cm⁻³

---

Record 3
VASP calculation (GGA-PBE) on a relaxed MoHW2I crystal.

Structure (extended XYZ):
```
5
Lattice="5.077 0.000 0.000 0.000 5.077 0.000 0.000 0.000 3.272" Properties=species:S:1:pos:R:3 pbc="T T T"
Mo 0.000 0.000 0.000
H 2.538 2.538 0.000
W 0.000 2.538 1.636
W 2.538 0.000 1.636
I 2.538 2.538 1.636
```

Values from the calculation:
Total energy: -6.375 eV per atom
Magnetization: 0.00 μB per formula unit
N(E_F): 6.29 states/eV/cell
Calculated density: 11.65 g cm⁻³

---

Record 4
VASP calculation (GGA-PBE) on a relaxed Nd4YTh3 crystal.

Structure (extended XYZ):
```
16
Lattice="5.102 0.000 0.000 0.000 10.230 0.000 0.000 0.000 10.334" Properties=species:S:1:pos:R:3 pbc="T T T"
Nd 1.276 0.012 1.382
Nd 1.276 2.558 8.992
Nd 1.276 5.103 1.382
Nd 1.276 7.673 8.911
Nd 3.827 2.558 1.423
Nd 3.827 5.127 8.951
Nd 3.827 7.673 1.342
Nd 3.827 10.219 8.951
Y 1.276 7.673 3.944
Y 3.827 2.558 6.390
Th 1.276 2.558 3.935
Th 1.276 5.142 6.387
Th 1.276 10.204 6.387
Th 3.827 0.026 3.946
Th 3.827 5.089 3.946
Th 3.827 7.673 6.398
```

Values from the calculation:
Magnetization: 0.00 μB per formula unit
N(E_F): 23.18 states/eV/cell
Energy of formation: 29 kJ/mol of formula units
Calculated density: 8.39 g cm⁻³

---

Record 5
VASP calculation (GGA-PBE) on a relaxed Ac4La7Er crystal.

Structure (extended XYZ):
```
12
Lattice="6.646 0.000 0.000 0.024 7.634 0.000 2.211 0.008 9.273" Properties=species:S:1:pos:R:3 pbc="T T T"
Ac 2.191 1.982 3.033
Ac 3.297 0.006 6.223
Ac 5.584 7.636 3.050
Ac 6.690 5.660 6.240
La 0.045 5.670 0.037
La 2.226 5.693 3.010
La 3.393 3.819 6.231
La 3.323 0.000 0.000
La 5.489 3.823 3.042
La 6.655 1.950 6.263
La 8.836 1.972 9.236
Er 3.335 3.817 0.000
```

Values from the calculation:
Magnetization: 0.00 μB per formula unit
N(E_F): 19.60 states/eV/cell
Energy of formation: 33 kJ/mol of formula units
Calculated density: 7.23 g cm⁻³

---

Record 6
VASP calculation (GGA-PBE) on a relaxed RbZn2Sb2 crystal.

Structure (extended XYZ):
```
10
Lattice="4.207 0.000 0.000 0.000 4.207 0.000 0.000 0.000 16.883" Properties=species:S:1:pos:R:3 pbc="T T T"
Rb 0.000 0.000 0.000
Rb 2.104 2.104 8.442
Zn 0.000 2.104 4.221
Zn 0.000 2.104 12.663
Zn 2.104 0.000 4.221
Zn 2.104 0.000 12.663
Sb 0.000 0.000 5.988
Sb 0.000 0.000 10.895
Sb 2.104 2.104 2.453
Sb 2.104 2.104 14.430
```

Values from the calculation:
Magnetization: 0.00 μB per formula unit
N(E_F): 2.31 states/eV/cell
Formation energy (no corrections): -1.24 eV/f.u.
Calculated density: 5.11 g cm⁻³

---

Record 7
VASP calculation (GGA-PBE) on a relaxed Zr2SbO2 crystal.

Structure (extended XYZ):
```
10
Lattice="4.278 0.000 0.000 0.000 4.278 0.000 0.000 0.000 9.687" Properties=species:S:1:pos:R:3 pbc="T T T"
Zr 0.000 2.139 2.422
Zr 0.000 2.139 7.265
Zr 2.139 0.000 2.422
Zr 2.139 0.000 7.265
Sb 0.000 0.000 0.000
Sb 2.139 2.139 4.843
O 0.000 0.000 2.989
O 0.000 0.000 6.698
O 2.139 2.139 1.855
O 2.139 2.139 7.832
```

Values from the calculation:
Energy above the most stable polymorph in this dataset: 0.000 eV/atom
Magnetization: 0.00 μB per formula unit
N(E_F): 3.28 states/eV/cell
Formation energy (no corrections): -9.45 eV/f.u.
Calculated density: 6.30 g cm⁻³

---

Record 8
VASP calculation (GGA-PBE) on a relaxed BaBeRu2 crystal.

Structure (extended XYZ):
```
4
Lattice="3.087 0.000 0.000 0.000 3.087 0.000 0.000 0.000 7.639" Properties=species:S:1:pos:R:3 pbc="T T T"
Ba 0.000 0.000 0.000
Be 0.000 0.000 3.819
Ru 1.543 1.543 2.646
Ru 1.543 1.543 4.993
```

Values from the calculation:
Magnetization: 0.00 μB per formula unit
N(E_F): 5.20 states/eV/cell
Energy of formation: 212 kJ/mol of formula units
Calculated density: 7.95 g cm⁻³

---

Record 9
VASP calculation (GGA-PBE) on a relaxed Er2B2C3 crystal.

Structure (extended XYZ):
```
14
Lattice="10.287 0.000 0.000 0.000 3.002 0.000 -0.429 0.000 5.134" Properties=species:S:1:pos:R:3 pbc="T T T"
Er 1.367 0.000 1.302
Er 3.347 1.501 3.832
Er 6.510 1.501 1.302
Er 8.490 0.000 3.832
B 0.744 1.501 4.137
B 3.970 0.000 0.996
B 5.888 0.000 4.137
B 9.113 1.501 0.996
C 0.000 1.501 0.000
C 1.394 0.000 3.768
C 3.320 1.501 1.365
C 5.143 0.000 0.000
C 6.537 1.501 3.768
C 8.464 0.000 1.365
```

Values from the calculation:
Magnetization: 0.00 μB per formula unit
N(E_F): 5.05 states/eV/cell
Energy of formation: -149 kJ/mol of formula units
Calculated density: 8.22 g cm⁻³

---

Record 10
VASP calculation (GGA-PBE) on a relaxed La2GeSe crystal.

Structure (extended XYZ):
```
16
Lattice="4.388 -8.740 0.000 4.388 8.740 0.000 -4.367 0.000 6.222" Properties=species:S:1:pos:R:3 pbc="T T T"
La -1.080 3.281 4.635
La 1.055 1.096 1.522
La -1.129 -1.096 4.632
La 1.103 -3.281 1.524
La 3.307 3.281 4.698
La 5.538 1.096 1.589
La 3.355 -1.096 4.700
La 5.490 -3.281 1.587
Ge 3.297 7.611 1.555
Ge 1.113 5.429 4.666
Ge 3.297 -5.429 1.555
Ge 1.113 -7.611 4.666
Se 3.297 3.251 1.555
Se 1.113 1.067 4.666
Se 3.297 -1.067 1.555
Se 1.113 -3.251 4.666
```

Values from the calculation:
Energy above the most stable polymorph in this dataset: 0.000 eV/atom
Magnetization: 0.00 μB per formula unit
N(E_F): 4.96 states/eV/cell
Formation energy (no corrections): -5.86 eV/f.u.
Calculated density: 5.98 g cm⁻³

---

Record 11
VASP calculation (GGA-PBE) on a relaxed Na2PuGaCl6 crystal.

Structure (extended XYZ):
```
10
Lattice="3.578 2.066 6.572 -3.578 2.066 6.572 0.000 -4.132 6.572" Properties=species:S:1:pos:R:3 pbc="T T T"
Na 0.000 0.000 0.000
Na 0.000 0.000 9.661
Pu 0.000 0.000 13.536
Ga 0.000 0.000 3.905
Cl -1.239 -2.189 8.361
Cl -2.081 -0.133 11.754
Cl -1.276 2.168 8.361
Cl 1.155 -1.736 11.754
Cl 2.515 0.021 8.361
Cl 0.925 1.868 11.754
```

Values from the calculation:
Magnetization: 5.00 μB per formula unit
N(E_F): 10.10 states/eV/cell
Formation energy (no corrections): -16.20 eV/f.u.
Calculated density: 3.26 g cm⁻³

---

Record 12
VASP calculation (GGA-PBE) on a relaxed ZnCu2F crystal.

Structure (extended XYZ):
```
16
Lattice="5.886 0.000 0.000 0.000 5.886 0.000 0.000 0.000 5.886" Properties=species:S:1:pos:R:3 pbc="T T T"
Zn 0.000 0.000 0.000
Zn 0.000 2.943 2.943
Zn 2.943 0.000 2.943
Zn 2.943 2.943 0.000
Cu 1.471 1.471 1.471
Cu 1.471 1.471 4.414
Cu 1.471 4.414 1.471
Cu 1.471 4.414 4.414
Cu 4.414 1.471 1.471
Cu 4.414 1.471 4.414
Cu 4.414 4.414 1.471
Cu 4.414 4.414 4.414
F 0.000 0.000 2.943
F 0.000 2.943 0.000
F 2.943 0.000 0.000
F 2.943 2.943 2.943
```

Values from the calculation:
Energy above the most stable polymorph in this dataset: 0.157 eV/atom
Magnetization: 0.00 μB per formula unit
N(E_F): 5.31 states/eV/cell
Formation energy (no corrections): -0.74 eV/f.u.
Calculated density: 6.89 g cm⁻³